This record from Alexandria via LeMat-Bulk describes a relaxed Tb5GeSe4 crystal. The functional is GGA-PBE.

Cell lengths 5.802, 7.140, 7.140 Å; angles 80.50, 66.03, 66.03 degrees
Element x y z (fractional)
1 Tb 0.903 0.390 0.806
2 Tb 0.293 0.806 0.610
3 Tb 0.709 0.194 0.390
4 Tb 0.099 0.610 0.194
5 Tb 0.501 0.000 0.000
6 Ge 0.001 0.000 0.000
7 Se 0.403 0.400 0.796
8 Se 0.803 0.796 0.600
9 Se 0.199 0.204 0.400
10 Se 0.599 0.600 0.204

Formation energy from raw total energies (meV/atom): -1671
E above lowest polymorph (kcal/mol of atoms): 0.000
Calculated volume (Å³/atom): 24.695